# 1
## LiNbFe (PBE)

Data for a relaxed LiNbFe crystal.

Geometry as POSCAR:
```
LiNbFe
1.0
0.0000 2.7376 2.7376
2.7376 0.0000 2.7376
2.7376 2.7376 0.0000
Fe Nb Li
1 1 1
Direct
0.2500 0.2500 0.2500
0.7500 0.7500 0.7500
0.0000 0.0000 0.0000
```

Values from the calculation:
Symmetry = F-43m, No. 216
Density = 6.300 g/cm3
Energy = -5.768 eV per atom

# 2
## Li2NbFe (PBE)

Data for a relaxed Li2NbFe crystal.

Geometry as POSCAR:
```
Li2NbFe
1.0
0.0000 2.9782 2.9782
2.9782 0.0000 2.9782
2.9782 2.9782 0.0000
Li Nb Fe
2 1 1
Direct
0.7500 0.7500 0.7500
0.0000 0.0000 0.0000
0.5000 0.5000 0.5000
0.2500 0.2500 0.2500
```

Values from the calculation:
Symmetry = F-43m, No. 216
Density = 5.112 g/cm3
Energy = -5.154 eV per atom

# 3
## Li2Nb2FeSi2Os (PBE)

Data for a relaxed Li2Nb2FeSi2Os crystal.

Geometry as POSCAR:
```
Li2Nb2FeSi2Os
1.0
-2.4049 2.8620 1.9167
-2.6654 -0.0655 -3.2465
-3.0978 -4.3653 2.6315
Os Nb Li Fe Si
1 2 2 1 2
Direct
0.5000 0.5000 0.5000
0.0000 0.5000 0.2358
0.5000 0.0000 0.7642
0.5000 0.5000 0.0000
0.0000 0.0000 0.5000
0.0000 0.0000 0.0000
0.5000 0.0000 0.2443
0.0000 0.5000 0.7557
```

Values from the calculation:
Symmetry = P-4m2, No. 115
Density = 7.918 g/cm3
Energy = -7.233 eV per atom

# 4
## LiNbFePb (PBE)

Data for a relaxed LiNbFePb crystal.

Geometry as POSCAR:
```
LiNbFePb
1.0
0.0000 3.2569 3.2569
3.2569 0.0000 3.2569
3.2569 3.2569 0.0000
Li Fe Nb Pb
1 1 1 1
Direct
0.7500 0.7500 0.7500
0.5000 0.5000 0.5000
0.2500 0.2500 0.2500
0.0000 0.0000 0.0000
```

Values from the calculation:
Symmetry = F-43m, No. 216
Density = 8.722 g/cm3
Relative energy among the computed polymorphs = 217 meV per atom

# 5
## LiNbFePb (PBE)

Data for a relaxed LiNbFePb crystal.

Geometry as POSCAR:
```
LiNbFePb
1.0
-2.9295 -2.0699 -2.5740
-3.6268 2.1177 -1.3615
-0.4196 1.1577 -4.2398
Fe Nb Pb Li
1 1 1 1
Direct
0.7500 0.7500 0.7500
0.5000 0.5000 0.5000
0.0000 0.0000 0.0000
0.2500 0.2500 0.2500
```

Values from the calculation:
Symmetry = F-43m, No. 216
Density = 9.903 g/cm3
Relative energy among the computed polymorphs = 0 meV per atom

# 6
## LiNbFeSb (PBE)

Data for a relaxed LiNbFeSb crystal.

Geometry as POSCAR:
```
LiNbFeSb
1.0
0.0000 3.1794 3.1794
3.1794 0.0000 3.1794
3.1794 3.1794 0.0000
Fe Nb Li Sb
1 1 1 1
Direct
0.7500 0.7500 0.7500
0.2500 0.2500 0.2500
0.5000 0.5000 0.5000
0.0000 0.0000 0.0000
```

Values from the calculation:
Symmetry = F-43m, No. 216
Density = 7.168 g/cm3
Relative energy among the computed polymorphs = 321 meV per atom

# 7
## LiNbFeSb (PBE)

Data for a relaxed LiNbFeSb crystal.

Geometry as POSCAR:
```
LiNbFeSb
1.0
0.0000 3.0833 3.0833
3.0833 0.0000 3.0833
3.0833 3.0833 0.0000
Li Fe Sb Nb
1 1 1 1
Direct
0.2500 0.2500 0.2500
0.7500 0.7500 0.7500
0.0000 0.0000 0.0000
0.5000 0.5000 0.5000
```

Values from the calculation:
Symmetry = F-43m, No. 216
Density = 7.859 g/cm3
Relative energy among the computed polymorphs = 0 meV per atom

# 8
## LiNbFeSi (PBE)

Data for a relaxed LiNbFeSi crystal.

Geometry as POSCAR:
```
LiNbFeSi
1.0
-0.2551 -4.0086 -0.8383
-3.4860 -1.5657 -1.4945
-0.1721 -1.2742 -3.8966
Si Li Nb Fe
1 1 1 1
Direct
0.0000 0.0000 0.0000
0.7500 0.7500 0.7500
0.5000 0.5000 0.5000
0.2500 0.2500 0.2500
```

Values from the calculation:
Symmetry = F-43m, No. 216
Density = 6.247 g/cm3
Relative energy among the computed polymorphs = 0 meV per atom

# 9
## LiNbFeSi (PBE)

Data for a relaxed LiNbFeSi crystal.

Geometry as POSCAR:
```
LiNbFeSi
1.0
0.0000 2.9861 2.9861
2.9861 0.0000 2.9861
2.9861 2.9861 0.0000
Nb Si Fe Li
1 1 1 1
Direct
0.2500 0.2500 0.2500
0.0000 0.0000 0.0000
0.7500 0.7500 0.7500
0.5000 0.5000 0.5000
```

Values from the calculation:
Symmetry = F-43m, No. 216
Density = 5.730 g/cm3
Relative energy among the computed polymorphs = 408 meV per atom

# 10
## LiNbZnFe (PBE)

Data for a relaxed LiNbZnFe crystal.

Geometry as POSCAR:
```
LiNbZnFe
1.0
0.0000 3.0377 3.0377
3.0377 0.0000 3.0377
3.0377 3.0377 0.0000
Fe Li Nb Zn
1 1 1 1
Direct
0.7500 0.7500 0.7500
0.5000 0.5000 0.5000
0.2500 0.2500 0.2500
0.0000 0.0000 0.0000
```

Values from the calculation:
Symmetry = F-43m, No. 216
Density = 6.549 g/cm3
Relative energy among the computed polymorphs = 229 meV per atom

# 11
## LiNbZnFe (PBE)

Data for a relaxed LiNbZnFe crystal.

Geometry as POSCAR:
```
LiNbZnFe
1.0
-3.7021 -0.2392 -2.0454
-3.0120 2.8889 0.7268
-0.9616 2.8531 -2.9801
Fe Li Nb Zn
1 1 1 1
Direct
0.7500 0.7500 0.7500
0.2500 0.2500 0.2500
0.5000 0.5000 0.5000
0.0000 0.0000 0.0000
```

Values from the calculation:
Symmetry = F-43m, No. 216
Density = 6.830 g/cm3
Relative energy among the computed polymorphs = 0 meV per atom

# 12
## LiZrNbFe (PBE)

Data for a relaxed LiZrNbFe crystal.

Geometry as POSCAR:
```
LiZrNbFe
1.0
0.0000 3.1418 3.1418
3.1418 0.0000 3.1418
3.1418 3.1418 0.0000
Zr Fe Li Nb
1 1 1 1
Direct
0.0000 0.0000 0.0000
0.5000 0.5000 0.5000
0.7500 0.7500 0.7500
0.2500 0.2500 0.2500
```

Values from the calculation:
Symmetry = F-43m, No. 216
Density = 6.611 g/cm3
Relative energy among the computed polymorphs = 242 meV per atom